A relaxed structure of Fe2PdRh, computed with PBE.

Calculated volume = 55 Å³ per cell
Crystal system = tetragonal
DFT formation energy = -32 meV/atom

Cell and atoms, written as POSCAR:
```
Fe2PdRh
1.0
-1.813 0.700 1.921
-1.884 -1.568 -1.208
2.123 -5.694 4.078
Fe Pd Rh
2 1 1
direct
0.000 0.000 0.756
0.000 0.000 0.244
0.500 0.500 0.500
0.500 0.500 0.000
```

***

A relaxed structure of CsAlP2Cl, computed with PBE.

Calculated volume = 232 Å³ per cell
Crystal system = tetragonal
Final energy = -3.592 eV/atom

Cell and atoms, written as POSCAR:
```
CsAlP2Cl
1.0
4.595 0.000 0.000
0.000 10.970 0.000
0.000 0.000 4.595
P Cs Cl Al
2 1 1 1
direct
0.000 0.000 0.500
0.500 0.000 0.000
0.000 0.500 0.000
0.500 0.500 0.500
0.000 0.000 0.000
```

***

A relaxed structure of NdEr2Sn, computed with PBE.

Calculated volume = 123 Å³ per cell
Crystal system = trigonal
DFT formation energy = -13 meV/atom

Cell and atoms, written as POSCAR:
```
NdEr2Sn
1.0
-1.753 -2.981 0.255
0.011 -2.249 -2.639
9.014 -7.000 3.726
Nd Sn Er
1 1 2
direct
0.000 0.000 0.000
0.500 0.500 0.500
0.904 0.904 0.288
0.096 0.096 0.712
```

***

A relaxed structure of SbTe2W, computed with PBE.

Calculated volume = 108 Å³ per cell
Crystal system = trigonal
Final energy = -5.541 eV/atom

Cell and atoms, written as POSCAR:
```
SbTe2W
1.0
-8.505 4.756 3.476
-6.520 4.897 6.367
-6.169 7.344 3.877
Sb Te W
1 2 1
direct
0.000 0.000 0.000
0.106 0.106 0.106
0.894 0.894 0.894
0.500 0.500 0.500
```

***

A relaxed structure of RbCdGaAg, computed with PBE.

Calculated volume = 127 Å³ per cell
Crystal system = monoclinic
DFT formation energy = -43 meV/atom

Cell and atoms, written as POSCAR:
```
RbCdGaAg
1.0
-4.496 1.006 -1.063
1.424 -4.522 0.216
-0.985 2.499 6.530
Ag Ga Rb Cd
1 1 1 1
direct
0.798 0.597 0.038
0.133 0.265 0.041
0.612 0.224 0.476
0.423 0.847 0.912
```

***

A relaxed structure of Hf4TiIn5, computed with PBE.

Calculated volume = 215 Å³ per cell
Crystal system = tetragonal
DFT formation energy = -12 meV/atom

Cell and atoms, written as POSCAR:
```
Hf4TiIn5
1.0
-0.161 -3.470 1.417
2.117 1.086 2.900
-12.607 3.766 7.790
In Hf Ti
5 4 1
direct
0.500 0.500 0.500
0.500 0.500 0.298
0.500 0.500 0.702
0.500 0.500 0.905
0.500 0.500 0.095
0.000 0.000 0.601
0.000 0.000 0.804
0.000 0.000 0.196
0.000 0.000 0.399
0.000 0.000 0.000
```

***

A relaxed structure of Tl2ReSi, computed with PBE.

Calculated volume = 87 Å³ per cell
Crystal system = monoclinic
Final energy = -4.726 eV/atom

Cell and atoms, written as POSCAR:
```
Tl2ReSi
1.0
4.989 0.000 0.000
0.000 3.550 0.009
0.000 3.203 4.920
Si Re Tl
1 1 2
direct
0.500 0.750 0.750
0.500 0.250 0.250
0.000 0.210 0.006
0.000 0.290 0.494
```

***

A relaxed structure of Zr2CuHPt, computed with PBE.

Calculated volume = 75 Å³ per cell
Crystal system = tetragonal
Final energy = -6.539 eV/atom

Cell and atoms, written as POSCAR:
```
Zr2CuHPt
1.0
-0.796 -4.127 1.226
4.100 -0.346 1.496
-1.177 1.272 3.518
Cu Pt Zr H
1 1 2 1
direct
0.500 0.500 0.500
0.000 0.000 0.500
0.500 0.000 0.000
0.000 0.500 0.000
0.000 0.000 0.000
```

***

A relaxed structure of MnAlTc2, computed with PBE.

Calculated volume = 55 Å³ per cell
Crystal system = trigonal
DFT formation energy = -22 meV/atom

Cell and atoms, written as POSCAR:
```
MnAlTc2
1.0
8.623 -0.007 -0.004
8.190 2.699 -0.004
8.190 1.311 2.359
Tc Mn Al
2 1 1
direct
0.004 0.004 0.004
0.496 0.496 0.496
0.750 0.750 0.750
0.250 0.250 0.250
```

***

A relaxed structure of ZnSb2TeP, computed with PBE.

Calculated volume = 145 Å³ per cell
Crystal system = tetragonal
Final energy = -2.990 eV/atom

Cell and atoms, written as POSCAR:
```
ZnSb2TeP
1.0
-4.766 -1.745 1.068
-0.640 -1.300 -4.981
2.012 -4.876 1.014
Sb Zn P Te
2 1 1 1
direct
0.000 0.500 0.000
0.500 0.000 0.000
0.500 0.500 0.500
0.000 0.000 0.000
0.000 0.000 0.500
```

***

A relaxed structure of B5C7, computed with PBE.

Calculated volume = 80 Å³ per cell
Crystal system = monoclinic
DFT formation energy = 412 meV/atom

Cell and atoms, written as POSCAR:
```
B5C7
1.0
-2.714 2.448 -5.114
-4.124 0.364 -4.730
-2.570 2.447 3.842
C B
7 5
direct
0.250 0.250 0.382
0.666 0.666 0.832
0.237 0.237 0.868
0.015 0.015 0.995
0.586 0.586 0.035
0.585 0.585 0.552
0.920 0.920 0.723
0.013 0.013 0.563
0.321 0.321 0.159
0.330 0.330 0.668
0.918 0.918 0.139
0.660 0.660 0.334
```

***

A relaxed structure of LuSbBr, computed with PBE.

Calculated volume = 77 Å³ per cell
Crystal system = hexagonal
Final energy = -4.211 eV/atom

Cell and atoms, written as POSCAR:
```
LuSbBr
1.0
3.560 0.000 0.000
0.000 5.001 0.000
0.000 -2.501 4.331
Br Sb Lu
1 1 1
direct
0.166 0.333 0.667
0.667 0.667 0.333
0.167 0.000 0.000
```

***

A relaxed structure of TlCd2PbO4, computed with PBE.

Calculated volume = 152 Å³ per cell
Crystal system = tetragonal
Final energy = -4.328 eV/atom

Cell and atoms, written as POSCAR:
```
TlCd2PbO4
1.0
5.426 0.225 0.000
-0.225 5.426 0.000
-2.600 -2.826 5.169
O Cd Pb Tl
4 2 1 1
direct
0.109 0.109 0.730
0.378 0.891 0.270
0.891 0.378 0.270
0.622 0.622 0.730
0.750 0.250 0.500
0.250 0.750 0.500
0.000 0.000 0.000
0.500 0.500 0.000
```

***

A relaxed structure of LaPaPd2, computed with PBE.

Calculated volume = 98 Å³ per cell
Crystal system = trigonal
DFT formation energy = -468 meV/atom

Cell and atoms, written as POSCAR:
```
LaPaPd2
1.0
-4.434 -0.794 -1.655
-3.559 -1.004 3.059
-3.670 4.185 0.867
La Pd Pa
1 2 1
direct
0.000 0.000 0.000
0.220 0.220 0.341
0.780 0.780 0.659
0.500 0.500 0.500
```